First-principles (PBE with a Hubbard U) data for a geometry-optimized BaGe2WO8 structure, as listed in the Alexandria database.

Lattice parameters (Å, degrees): 4.9154 4.9154 26.4133 90.00 90.00 120.00
Space group R32 (No. 155, hexagonal axes)
Inequivalent atoms, fractional coordinates:
Ba (0.0000, 0.0000, 0.0000) (multiplicity 3)
Ge (0.0000, 0.0000, 0.2381) (multiplicity 6)
W (0.0000, 0.0000, 0.5000) (multiplicity 3)
O (0.0000, 0.0000, 0.3030) (multiplicity 6)
O (0.0124, 0.3112, 0.4525) (multiplicity 18)

* total magnetic moment: 0.00 μB per atom
* electronic total energy: -6.70 eV per atom